Entry 1:
# YBiH3 PBE optimized geometry
# Total DFT energy (no corrections): -17.8 eV/cell
# Polymorph energy (0 for the lowest one): 12.645 kcal/mol of atoms
data_YBiH3
_cell_length_a 4.2705
_cell_length_b 4.2705
_cell_length_c 4.2705
_cell_angle_alpha 90.00
_cell_angle_beta 90.00
_cell_angle_gamma 90.00
_symmetry_space_group_name_H-M 'P 1'
_symmetry_Int_Tables_number 1
loop_
_symmetry_equiv_pos_as_xyz
'x,y,z'
loop_
_atom_site_label
_atom_site_fract_x
_atom_site_fract_y
_atom_site_fract_z
Y1 0.0000 0.0000 0.0000
Bi1 0.5000 0.5000 0.5000
H1 0.0000 0.5000 0.5000
H2 0.5000 0.0000 0.5000
H3 0.5000 0.5000 0.0000

---

Entry 2:
# Ca3MgCd PBE optimized geometry
# Energy of formation from the pure elements: 0.151 eV/atom
# Total DFT energy (no corrections): -7.8 eV/cell
# Polymorph energy (0 for the lowest one): 7.435 kcal/mol of atoms
data_Ca3MgCd
_cell_length_a 5.9211
_cell_length_b 5.9211
_cell_length_c 5.9211
_cell_angle_alpha 90.00
_cell_angle_beta 90.00
_cell_angle_gamma 90.00
_symmetry_space_group_name_H-M 'P 1'
_symmetry_Int_Tables_number 1
loop_
_symmetry_equiv_pos_as_xyz
'x,y,z'
loop_
_atom_site_label
_atom_site_fract_x
_atom_site_fract_y
_atom_site_fract_z
Ca1 0.0000 0.0000 0.5000
Ca2 0.0000 0.5000 0.0000
Ca3 0.5000 0.0000 0.0000
Mg1 0.5000 0.5000 0.5000
Cd1 0.0000 0.0000 0.0000

---

Entry 3:
# Sm2AgIr PBE optimized geometry
# Energy of formation from the pure elements: -0.442 eV/atom
# Total DFT energy (no corrections): -68.8 eV/cell
# Polymorph energy (0 for the lowest one): 1.444 kcal/mol of atoms
data_Sm2AgIr
_cell_length_a 4.1627
_cell_length_b 4.1627
_cell_length_c 21.7812
_cell_angle_alpha 90.00
_cell_angle_beta 90.00
_cell_angle_gamma 120.00
_symmetry_space_group_name_H-M 'P 1'
_symmetry_Int_Tables_number 1
loop_
_symmetry_equiv_pos_as_xyz
'x,y,z'
loop_
_atom_site_label
_atom_site_fract_x
_atom_site_fract_y
_atom_site_fract_z
Sm1 0.0000 0.0000 0.0000
Sm2 0.0000 0.0000 0.1957
Sm3 0.3333 0.6667 0.6667
Sm4 0.3333 0.6667 0.8624
Sm5 0.6667 0.3333 0.3333
Sm6 0.6667 0.3333 0.5290
Ag1 0.0000 0.0000 0.4332
Ag2 0.3333 0.6667 0.0999
Ag3 0.6667 0.3333 0.7665
Ir1 0.0000 0.0000 0.5967
Ir2 0.3333 0.6667 0.2634
Ir3 0.6667 0.3333 0.9301